Below is crystalline La8ErMg2 at its relaxed geometry, with properties calculated at the GGA-PBE level.

Size of the total moment = 0.000 μB/cell
E_form = -0.0012 eV/atom
Calculated total energy = -4.29 eV/atom

abc: 5.229 8.359 9.453
angles: 107.86 106.06 90.00
Fractional positions:
La 0.595 0.461 0.190
La 0.315 0.062 0.630
La 0.138 0.192 0.277
La 0.050 0.736 0.101
La 0.862 0.808 0.723
La 0.685 0.938 0.370
La 0.405 0.539 0.810
La 0.950 0.264 0.899
Er 0.500 0.000 0.000
Mg 0.227 0.632 0.454
Mg 0.773 0.368 0.546

Below is crystalline CePtO at its relaxed geometry, with properties calculated at the GGA-PBE level.

Size of the total moment = 0.535 μB/cell
Calculated total energy = -7.64 eV/atom
ΔE_f (raw) = -1.99 eV per atom

abc: 4.077 6.818 7.464
angles: 90.00 90.00 90.00
Site moments in Bohr magnetons follow the coordinates.
Fractional positions:
Pt 0.750 0.123 0.003  -0.03
Pt 0.250 0.623 0.497  -0.03
Pt 0.250 0.877 0.997  -0.03
Pt 0.750 0.377 0.503  -0.03
Ce 0.750 0.873 0.333  0.16
Ce 0.250 0.373 0.167  0.16
Ce 0.250 0.127 0.667  0.16
Ce 0.750 0.627 0.833  0.16
O 0.750 0.558 0.132  -0.01
O 0.250 0.058 0.368  -0.01
O 0.250 0.442 0.868  -0.01
O 0.750 0.942 0.632  -0.01

Below is crystalline Ac6Pt3S2Br at its relaxed geometry, with properties calculated at the GGA-PBE level.

Size of the total moment = 0.000 μB/cell
Calculated total energy = -5.86 eV/atom
ΔE_f (raw) = -1.47 eV per atom

abc: 4.350 9.229 10.191
angles: 107.36 102.32 90.00
Fractional positions:
Ac 0.323 0.924 0.645
Ac 0.664 0.591 0.328
Ac 0.677 0.076 0.355
Ac 0.997 0.277 0.993
Ac 0.003 0.723 0.007
Ac 0.336 0.409 0.672
Pt 0.500 0.500 0.000
Pt 0.835 0.168 0.670
Pt 0.165 0.832 0.330
S 0.835 0.670 0.669
S 0.165 0.330 0.331
Br 0.500 0.000 0.000

Below is crystalline Ca2ScRe at its relaxed geometry, with properties calculated at the GGA-PBE level.

Size of the total moment = 0.000 μB/cell
E_form = 0.6829 eV/atom
Calculated total energy = -5.01 eV/atom
Excess energy over the best structure of this formula in the dataset = 412 meV per atom

abc: 6.045 6.045 3.056
angles: 83.26 83.26 121.30
Fractional positions:
Sc 0.000 0.500 0.500
Re 0.500 0.000 0.500
Ca 0.000 0.000 0.000
Ca 0.500 0.500 0.000

Below is crystalline ReNiRu2 at its relaxed geometry, with properties calculated at the GGA-PBE level.

Size of the total moment = 0.000 μB/cell
E_form = 0.2247 eV/atom
Calculated total energy = -8.97 eV/atom
Excess energy over the best structure of this formula in the dataset = 165 meV per atom

abc: 3.118 3.118 5.599
angles: 90.00 90.00 90.00
Fractional positions:
Ni 0.500 0.500 0.250
Re 0.500 0.500 0.750
Ru 0.000 0.000 0.018
Ru 0.000 0.000 0.482

Below is crystalline Al2AuCl at its relaxed geometry, with properties calculated at the GGA-PBE level.

Size of the total moment = 0.000 μB/cell
Calculated total energy = -3.47 eV/atom
ΔE_f (raw) = -0.32 eV per atom
Excess energy over the best structure of this formula in the dataset = 178 meV per atom

abc: 3.275 3.306 7.136
angles: 89.99 90.00 90.00
Fractional positions:
Au 0.500 0.250 0.250
Al 0.000 0.750 0.044
Al 0.000 0.750 0.456
Cl 0.500 0.750 0.750

Below is crystalline Tb2Pm6Sm3Tm at its relaxed geometry, with properties calculated at the GGA-PBE level.

Size of the total moment = 0.000 μB/cell
E_form = 0.0138 eV/atom
Calculated total energy = -4.69 eV/atom

abc: 6.271 6.271 11.954
angles: 95.02 95.02 120.00
Fractional positions:
Tb 0.333 0.667 0.000
Tb 0.667 0.333 0.000
Pm 0.917 0.584 0.753
Pm 0.750 0.750 0.248
Pm 0.083 0.416 0.247
Pm 0.584 0.917 0.753
Pm 0.250 0.250 0.752
Pm 0.416 0.083 0.247
Sm 0.167 0.833 0.500
Sm 0.833 0.167 0.500
Sm 0.500 0.500 0.500
Tm 0.000 0.000 0.000

Below is crystalline InHNO2 at its relaxed geometry, with properties calculated at the GGA-PBE level.

Size of the total moment = 0.001 μB/cell
Calculated total energy = -4.16 eV/atom

abc: 4.001 4.001 2.777
angles: 90.00 90.00 90.00
Fractional positions:
H 0.000 0.000 0.000
N 0.000 0.000 0.500
O 0.000 0.500 0.000
O 0.500 0.000 0.000
In 0.500 0.500 0.500

Repeat the first record exactly.
Below is crystalline La8ErMg2 at its relaxed geometry, with properties calculated at the GGA-PBE level.

Size of the total moment = 0.000 μB/cell
E_form = -0.0012 eV/atom
Calculated total energy = -4.29 eV/atom

abc: 5.229 8.359 9.453
angles: 107.86 106.06 90.00
Fractional positions:
La 0.595 0.461 0.190
La 0.315 0.062 0.630
La 0.138 0.192 0.277
La 0.050 0.736 0.101
La 0.862 0.808 0.723
La 0.685 0.938 0.370
La 0.405 0.539 0.810
La 0.950 0.264 0.899
Er 0.500 0.000 0.000
Mg 0.227 0.632 0.454
Mg 0.773 0.368 0.546